Material: LiOsNF2
Method: DFT, GGA-PBE
State: relaxed

Values from the calculation:
Fermi-level density of states in states/eV/atom: 0.609
E above lowest polymorph in meV/atom: 0
E_tot in eV per atom: -5.782

Unit cell a=4.2853 b=4.2853 c=3.7472 alpha=90.00 beta=90.00 gamma=90.00
With the nearest neighbours (Å) after each atom.
Space group P4/mmm (No. 123)
Asymmetric unit:
1 Li 0.0000 0.0000 0.0000  8 F 2.85, 4 N 3.03
2 Os 0.5000 0.5000 0.5000  2 N 1.87
3 N 0.5000 0.5000 0.0000  2 Os 1.87
4 F 0.0000 0.5000 0.5000  2 Os 2.14